1.
Entry from Alexandria via LeMat-Bulk: crystalline Ag12Hg2Au5 at its relaxed geometry (PBE).

Magnetization, μB/cell: 0.0
Energy of formation, eV/atom: 0.05
Crystal system: monoclinic

Structure (CIF):
```
data_Ag12Hg2Au5
_space_group_name_H-M_alt 'C 1 2/m 1'
_space_group_IT_number 12
_cell_length_a 15.3291
_cell_length_b 9.6625
_cell_length_c 5.0793
_cell_angle_alpha 90.00
_cell_angle_beta 104.96
_cell_angle_gamma 90.00
loop_
_space_group_symop_operation_xyz
'x,y,z'
'-x,-y,-z'
'-x,y,-z'
'x,-y,z'
'x+1/2,y+1/2,z'
'-x+1/2,-y+1/2,-z'
'-x+1/2,y+1/2,-z'
'x+1/2,-y+1/2,z'
loop_
_atom_site_label
_atom_site_type_symbol
_atom_site_fract_x
_atom_site_fract_y
_atom_site_fract_z
Ag1 Ag 0.0995 0.0000 0.0411
Ag2 Ag 0.1000 0.2572 0.6055
Ag3 Ag 0.1038 0.5000 0.2719
Ag4 Ag 0.2019 0.2511 0.2057
Hg1 Hg 0.0000 0.2700 0.0000
Au1 Au 0.0000 0.0000 0.5000
Au2 Au 0.1973 0.0000 0.5918
Au3 Au 0.1997 0.5000 0.8414
```



2.
Entry from Alexandria via LeMat-Bulk: crystalline ZrTaCl2 at its relaxed geometry (PBE).

Formation energy (no corrections), meV/atom: -490.8
Magnetization, μB/cell: 0.0
Crystal system: trigonal

Structure (CIF):
```
data_ZrTaCl2
_space_group_name_H-M_alt 'R -3 m'
_space_group_IT_number 166
_space_group_name_Hall '-R 3 2"'
_cell_length_a 3.1256
_cell_length_b 3.1256
_cell_length_c 26.6607
_cell_angle_alpha 90.00
_cell_angle_beta 90.00
_cell_angle_gamma 120.00
loop_
_atom_site_label
_atom_site_type_symbol
_atom_site_fract_x
_atom_site_fract_y
_atom_site_fract_z
Zr1 Zr 0.0000 0.0000 0.0000
Ta1 Ta 0.0000 0.0000 0.5000
Cl1 Cl 0.0000 0.0000 0.4057
```



3.
Entry from Alexandria via LeMat-Bulk: crystalline ScP2Pt7 at its relaxed geometry (PBE).

Magnetization, μB/cell: 0.0
Energy of formation, eV/atom: -0.68
Crystal system: tetragonal

Structure (CIF):
```
data_ScP2Pt7
_space_group_name_H-M_alt 'I 4/m m m'
_space_group_IT_number 139
_space_group_name_Hall '-I 4 2'
_cell_length_a 3.9670
_cell_length_b 3.9670
_cell_length_c 20.2061
_cell_angle_alpha 90.00
_cell_angle_beta 90.00
_cell_angle_gamma 90.00
loop_
_atom_site_label
_atom_site_type_symbol
_atom_site_fract_x
_atom_site_fract_y
_atom_site_fract_z
Sc1 Sc 0.0000 0.0000 0.0000
P1 P 0.0000 0.0000 0.3273
Pt1 Pt 0.0000 0.0000 0.5000
Pt2 Pt 0.0000 0.5000 0.1024
Pt3 Pt 0.0000 0.5000 0.2500
```